## SmZn2Ir (PBE)

Data for a relaxed SmZn2Ir crystal.

Calculated values
- space group = Pnma, No. 62
- DFT formation energy (eV/atom) = -0.4896
- total moment (Bohr magnetons per cell) = 0.0
- crystal system = orthorhombic

a = 15.501 Å, b = 7.282 Å, c = 5.434 Å
α = 90.00°, β = 90.00°, γ = 90.00°
Element x y z (fractional)
Sm: 0.100 0.250 0.223
Sm: 0.142 0.750 0.459
Sm: 0.358 0.250 0.959
Sm: 0.400 0.750 0.723
Sm: 0.600 0.250 0.277
Sm: 0.642 0.750 0.041
Sm: 0.858 0.250 0.541
Sm: 0.900 0.750 0.777
Zn: 0.039 0.060 0.739
Zn: 0.039 0.440 0.739
Zn: 0.211 0.552 0.938
Zn: 0.211 0.948 0.938
Zn: 0.289 0.052 0.438
Zn: 0.289 0.448 0.438
Zn: 0.461 0.560 0.239
Zn: 0.461 0.940 0.239
Zn: 0.539 0.060 0.761
Zn: 0.539 0.440 0.761
Zn: 0.711 0.552 0.562
Zn: 0.711 0.948 0.562
Zn: 0.789 0.052 0.062
Zn: 0.789 0.448 0.062
Zn: 0.961 0.560 0.261
Zn: 0.961 0.940 0.261
Ir: 0.071 0.750 0.986
Ir: 0.186 0.250 0.699
Ir: 0.314 0.750 0.199
Ir: 0.429 0.250 0.486
Ir: 0.571 0.750 0.514
Ir: 0.686 0.250 0.801
Ir: 0.814 0.750 0.301
Ir: 0.929 0.250 0.014

=====

## Sm4ZnIr3 (PBE)

Data for a relaxed Sm4ZnIr3 crystal.

Calculated values
- space group = Pmm2, No. 25
- DFT formation energy (eV/atom) = -0.6254
- total moment (Bohr magnetons per cell) = 0.0
- crystal system = orthorhombic

a = 3.959 Å, b = 4.364 Å, c = 10.767 Å
α = 90.00°, β = 90.00°, γ = 90.00°
Element x y z (fractional)
Sm: 0.000 0.000 0.000
Sm: 0.000 0.500 0.273
Sm: 0.500 0.000 0.481
Sm: 0.500 0.500 0.775
Zn: 0.000 0.000 0.700
Ir: 0.000 0.500 0.565
Ir: 0.500 0.000 0.215
Ir: 0.500 0.500 0.046

=====

## Sm3Zn2Ir7 (PBE)

Data for a relaxed Sm3Zn2Ir7 crystal.

Calculated values
- space group = R-3m, No. 166
- DFT formation energy (eV/atom) = -0.6233
- total moment (Bohr magnetons per cell) = 0.0
- crystal system = trigonal

a = 8.971 Å, b = 8.971 Å, c = 8.971 Å
α = 35.39°, β = 35.39°, γ = 35.39°
Element x y z (fractional)
Sm: 0.000 0.000 0.000
Sm: 0.141 0.141 0.141
Sm: 0.859 0.859 0.859
Zn: 0.335 0.335 0.335
Zn: 0.665 0.665 0.665
Ir: 0.077 0.586 0.586
Ir: 0.414 0.414 0.923
Ir: 0.414 0.923 0.414
Ir: 0.500 0.500 0.500
Ir: 0.586 0.077 0.586
Ir: 0.586 0.586 0.077
Ir: 0.923 0.414 0.414

=====

## Sm4ZnIr2 (PBE)

Data for a relaxed Sm4ZnIr2 crystal.

Calculated values
- space group = R-3m, No. 166
- DFT formation energy (eV/atom) = -0.5400
- total moment (Bohr magnetons per cell) = 0.0
- crystal system = trigonal

a = 9.913 Å, b = 9.913 Å, c = 9.913 Å
α = 27.58°, β = 27.58°, γ = 27.58°
Element x y z (fractional)
Sm: 0.115 0.115 0.115
Sm: 0.296 0.296 0.296
Sm: 0.704 0.704 0.704
Sm: 0.885 0.885 0.885
Zn: 0.500 0.500 0.500
Ir: 0.408 0.408 0.408
Ir: 0.592 0.592 0.592

=====

## Sm7Zn2Ir2 (PBE)

Data for a relaxed Sm7Zn2Ir2 crystal.

Calculated values
- space group = Cmmm, No. 65
- DFT formation energy (eV/atom) = -0.3184
- total moment (Bohr magnetons per cell) = 0.0
- crystal system = orthorhombic

a = 6.809 Å, b = 6.809 Å, c = 7.185 Å
α = 90.00°, β = 90.00°, γ = 107.64°
Element x y z (fractional)
Sm: 0.000 0.000 0.000
Sm: 0.000 0.500 0.259
Sm: 0.000 0.500 0.741
Sm: 0.500 0.000 0.259
Sm: 0.500 0.000 0.741
Sm: 0.500 0.500 0.253
Sm: 0.500 0.500 0.747
Zn: 0.166 0.166 0.500
Zn: 0.834 0.834 0.500
Ir: 0.290 0.710 0.000
Ir: 0.710 0.290 0.000

=====

## Sm5Zn5Ir2 (PBE)

Data for a relaxed Sm5Zn5Ir2 crystal.

Calculated values
- space group = C2/m, No. 12
- DFT formation energy (eV/atom) = -0.4497
- total moment (Bohr magnetons per cell) = 0.0
- crystal system = monoclinic

a = 8.127 Å, b = 8.127 Å, c = 11.272 Å
α = 131.09°, β = 131.09°, γ = 30.75°
Element x y z (fractional)
Sm: 0.000 0.000 0.000
Sm: 0.120 0.120 0.415
Sm: 0.196 0.196 0.818
Sm: 0.804 0.804 0.182
Sm: 0.880 0.880 0.585
Zn: 0.268 0.268 0.323
Zn: 0.442 0.442 0.158
Zn: 0.500 0.500 0.500
Zn: 0.558 0.558 0.842
Zn: 0.732 0.732 0.677
Ir: 0.349 0.349 0.742
Ir: 0.651 0.651 0.258

=====

## Sm3Zn3Ir (PBE)

Data for a relaxed Sm3Zn3Ir crystal.

Calculated values
- space group = C2/m, No. 12
- DFT formation energy (eV/atom) = -0.4290
- total moment (Bohr magnetons per cell) = 0.0
- crystal system = monoclinic

a = 5.825 Å, b = 5.825 Å, c = 15.483 Å
α = 104.51°, β = 104.51°, γ = 39.79°
Element x y z (fractional)
Sm: 0.021 0.021 0.386
Sm: 0.123 0.123 0.923
Sm: 0.236 0.236 0.239
Sm: 0.764 0.764 0.761
Sm: 0.877 0.877 0.077
Sm: 0.979 0.979 0.614
Zn: 0.334 0.334 0.466
Zn: 0.403 0.403 0.924
Zn: 0.483 0.483 0.773
Zn: 0.517 0.517 0.227
Zn: 0.597 0.597 0.076
Zn: 0.666 0.666 0.534
Ir: 0.283 0.283 0.630
Ir: 0.717 0.717 0.370

=====

## Sm4ZnIr (PBE)

Data for a relaxed Sm4ZnIr crystal.

Calculated values
- space group = F-43m, No. 216
- DFT formation energy (eV/atom) = -0.4312
- total moment (Bohr magnetons per cell) = 0.0
- crystal system = cubic

a = 9.714 Å, b = 9.714 Å, c = 9.714 Å
α = 60.00°, β = 60.00°, γ = 60.00°
Element x y z (fractional)
Sm: 0.188 0.188 0.812
Sm: 0.188 0.812 0.188
Sm: 0.188 0.812 0.812
Sm: 0.398 0.398 0.398
Sm: 0.398 0.398 0.807
Sm: 0.398 0.807 0.398
Sm: 0.558 0.558 0.942
Sm: 0.558 0.942 0.558
Sm: 0.558 0.942 0.942
Sm: 0.807 0.398 0.398
Sm: 0.812 0.188 0.188
Sm: 0.812 0.188 0.812
Sm: 0.812 0.812 0.188
Sm: 0.942 0.558 0.558
Sm: 0.942 0.558 0.942
Sm: 0.942 0.942 0.558
Zn: 0.172 0.172 0.172
Zn: 0.172 0.172 0.484
Zn: 0.172 0.484 0.172
Zn: 0.484 0.172 0.172
Ir: 0.177 0.608 0.608
Ir: 0.608 0.177 0.608
Ir: 0.608 0.608 0.177
Ir: 0.608 0.608 0.608

=====

## Sm2Zn5Ir (PBE)

Data for a relaxed Sm2Zn5Ir crystal.

Calculated values
- space group = Cmcm, No. 63
- DFT formation energy (eV/atom) = -0.3876
- total moment (Bohr magnetons per cell) = 0.0
- crystal system = orthorhombic

a = 8.527 Å, b = 8.527 Å, c = 9.103 Å
α = 90.00°, β = 90.00°, γ = 151.95°
Element x y z (fractional)
Sm: 0.000 0.000 0.000
Sm: 0.000 0.000 0.500
Sm: 0.182 0.818 0.750
Sm: 0.818 0.182 0.250
Zn: 0.195 0.805 0.109
Zn: 0.195 0.805 0.391
Zn: 0.355 0.645 0.019
Zn: 0.355 0.645 0.481
Zn: 0.398 0.602 0.750
Zn: 0.602 0.398 0.250
Zn: 0.645 0.355 0.519
Zn: 0.645 0.355 0.981
Zn: 0.805 0.195 0.609
Zn: 0.805 0.195 0.891
Ir: 0.447 0.553 0.250
Ir: 0.553 0.447 0.750

=====

## SmZrZnIr (PBE)

Data for a relaxed SmZrZnIr crystal.

Calculated values
- space group = F-43m, No. 216
- DFT formation energy (eV/atom) = -0.4269
- total moment (Bohr magnetons per cell) = 0.0
- crystal system = cubic

a = 6.881 Å, b = 6.881 Å, c = 6.881 Å
α = 90.00°, β = 90.00°, γ = 90.00°
Element x y z (fractional)
Sm: 0.000 0.000 0.000
Sm: 0.000 0.500 0.500
Sm: 0.500 0.000 0.500
Sm: 0.500 0.500 0.000
Zr: 0.000 0.000 0.500
Zr: 0.000 0.500 0.000
Zr: 0.500 0.000 0.000
Zr: 0.500 0.500 0.500
Zn: 0.250 0.250 0.250
Zn: 0.250 0.750 0.750
Zn: 0.750 0.250 0.750
Zn: 0.750 0.750 0.250
Ir: 0.250 0.250 0.750
Ir: 0.250 0.750 0.250
Ir: 0.750 0.250 0.250
Ir: 0.750 0.750 0.750

=====

## SmZr2Ir9 (PBE)

Data for a relaxed SmZr2Ir9 crystal.

Calculated values
- space group = R-3m, No. 166
- DFT formation energy (eV/atom) = -0.5388
- total moment (Bohr magnetons per cell) = 0.0
- crystal system = trigonal

a = 9.189 Å, b = 9.189 Å, c = 9.189 Å
α = 33.29°, β = 33.29°, γ = 33.29°
Element x y z (fractional)
Sm: 0.000 0.000 0.000
Zr: 0.139 0.139 0.139
Zr: 0.861 0.861 0.861
Ir: 0.082 0.586 0.586
Ir: 0.334 0.334 0.334
Ir: 0.414 0.414 0.918
Ir: 0.414 0.918 0.414
Ir: 0.500 0.500 0.500
Ir: 0.586 0.082 0.586
Ir: 0.586 0.586 0.082
Ir: 0.666 0.666 0.666
Ir: 0.918 0.414 0.414

=====

## Sm2Zr5Ir3 (PBE)

Data for a relaxed Sm2Zr5Ir3 crystal.

Calculated values
- space group = Cmc2_1, No. 36
- DFT formation energy (eV/atom) = -0.5891
- total moment (Bohr magnetons per cell) = 0.0
- crystal system = orthorhombic

a = 14.064 Å, b = 14.064 Å, c = 7.042 Å
α = 90.00°, β = 90.00°, γ = 161.30°
Element x y z (fractional)
Sm: 0.022 0.978 0.500
Sm: 0.327 0.673 0.510
Sm: 0.673 0.327 0.010
Sm: 0.978 0.022 0.000
Zr: 0.099 0.901 0.140
Zr: 0.204 0.796 0.724
Zr: 0.208 0.792 0.299
Zr: 0.372 0.628 0.988
Zr: 0.445 0.555 0.345
Zr: 0.555 0.445 0.845
Zr: 0.628 0.372 0.488
Zr: 0.792 0.208 0.799
Zr: 0.796 0.204 0.224
Zr: 0.901 0.099 0.640
Ir: 0.104 0.896 0.749
Ir: 0.273 0.727 0.015
Ir: 0.451 0.549 0.724
Ir: 0.549 0.451 0.224
Ir: 0.727 0.273 0.515
Ir: 0.896 0.104 0.249

=====

Which value of total moment does entry 12 give?
0.0 Bohr magnetons per cell